Record 1
# BiB, optimized geometry, DFT GGA-PBE
data_BiB
_chemical_formula_sum 'Bi2 B2'
_space_group_name_H-M_alt 'I 4 m m'
_space_group_IT_number 107
_space_group_name_Hall 'I 4 -2'
_cell_length_a 3.527
_cell_length_b 3.527
_cell_length_c 6.287
_cell_angle_alpha 90.00
_cell_angle_beta 90.00
_cell_angle_gamma 90.00
loop_
_atom_site_label
_atom_site_fract_x
_atom_site_fract_y
_atom_site_fract_z
Bi1 0.000 0.000 0.000
B1 0.000 0.000 0.612
# Final energy   -4.12 eV/atom
# Total magnetic moment   0.000 μB/f.u.
# Energy relative to the lowest polymorph listed for this composition   0.340 eV per atom



Record 2
# BiB, optimized geometry, DFT GGA-PBE
data_BiB
_chemical_formula_sum 'Bi6 B6'
_space_group_name_H-M_alt 'P m n 21'
_space_group_IT_number 31
_cell_length_a 11.200
_cell_length_b 3.846
_cell_length_c 6.851
_cell_angle_alpha 90.00
_cell_angle_beta 90.00
_cell_angle_gamma 90.00
loop_
_space_group_symop_operation_xyz
'x,y,z'
'-x+1/2,-y,z+1/2'
'-x,y,z'
'x+1/2,-y,z+1/2'
loop_
_atom_site_label
_atom_site_fract_x
_atom_site_fract_y
_atom_site_fract_z
Bi1 0.000 0.030 0.000
Bi2 0.200 0.665 0.666
B1 0.000 0.543 0.778
B2 0.216 0.833 0.011
# Final energy   -4.15 eV/atom
# Total magnetic moment   0.000 μB/f.u.
# Energy relative to the lowest polymorph listed for this composition   0.312 eV per atom



Record 3
# BiB, optimized geometry, DFT GGA-PBE
data_BiB
_chemical_formula_sum 'Bi6 B6'
_space_group_name_H-M_alt 'P m m n'
_space_group_IT_number 59
_cell_length_a 3.932
_cell_length_b 12.126
_cell_length_c 5.928
_cell_angle_alpha 90.00
_cell_angle_beta 90.00
_cell_angle_gamma 90.00
loop_
_space_group_symop_operation_xyz
'x,y,z'
'-x,-y,-z'
'-x+1/2,-y+1/2,z'
'x+1/2,y+1/2,-z'
'x+1/2,-y,-z'
'-x+1/2,y,z'
'-x,y+1/2,-z'
'x,-y+1/2,z'
loop_
_atom_site_label
_atom_site_fract_x
_atom_site_fract_y
_atom_site_fract_z
Bi1 0.250 0.099 0.133
Bi2 0.250 0.750 0.369
B1 0.250 0.250 0.401
B2 0.250 0.604 0.103
# Final energy   -4.31 eV/atom
# Total magnetic moment   0.000 μB/f.u.
# Energy relative to the lowest polymorph listed for this composition   0.152 eV per atom



Record 4
# BiB, optimized geometry, DFT GGA-PBE
data_BiB
_chemical_formula_sum 'Bi2 B2'
_space_group_name_H-M_alt 'P 63 m c'
_space_group_IT_number 186
_space_group_name_Hall 'P 6c -2c'
_cell_length_a 3.9037
_cell_length_b 3.9037
_cell_length_c 6.4225
_cell_angle_alpha 90.00
_cell_angle_beta 90.00
_cell_angle_gamma 120.00
loop_
_atom_site_label
_atom_site_fract_x
_atom_site_fract_y
_atom_site_fract_z
Bi1 0.3333 0.6667 0.0000
B1 0.3333 0.6667 0.6251
# Final energy   -4.45 eV/atom
# Total magnetic moment   0.000 μB/f.u.
# Energy relative to the lowest polymorph listed for this composition   0.008 eV per atom



Record 5
# BiB5, optimized geometry, DFT GGA-PBE
data_BiB5
_chemical_formula_sum 'Bi4 B20'
_space_group_name_H-M_alt 'P -1'
_space_group_IT_number 2
_cell_length_a 7.811
_cell_length_b 7.952
_cell_length_c 8.188
_cell_angle_alpha 62.46
_cell_angle_beta 64.77
_cell_angle_gamma 79.93
loop_
_space_group_symop_operation_xyz
'x,y,z'
'-x,-y,-z'
loop_
_atom_site_label
_atom_site_fract_x
_atom_site_fract_y
_atom_site_fract_z
Bi1 0.042 0.380 0.337
Bi2 0.214 0.836 0.832
B1 0.179 0.872 0.394
B2 0.219 0.116 0.299
B3 0.281 0.712 0.578
B4 0.303 0.967 0.473
B5 0.326 0.011 0.140
B6 0.346 0.224 0.707
B7 0.375 0.053 0.904
B8 0.419 0.826 0.325
B9 0.468 0.076 0.232
B10 0.496 0.613 0.484
# Final energy   -5.54 eV/atom
# Total magnetic moment   0.000 μB/f.u.



Record 6
# BiB, optimized geometry, DFT GGA-PBE
data_BiB
_chemical_formula_sum 'Bi8 B8'
_space_group_name_H-M_alt 'I -4 3 m'
_space_group_IT_number 217
_space_group_name_Hall 'I -4 2 3'
_cell_length_a 7.602
_cell_length_b 7.602
_cell_length_c 7.602
_cell_angle_alpha 90.00
_cell_angle_beta 90.00
_cell_angle_gamma 90.00
loop_
_atom_site_label
_atom_site_fract_x
_atom_site_fract_y
_atom_site_fract_z
Bi1 0.165 0.165 0.835
B1 0.156 0.156 0.156
# Final energy   -4.17 eV/atom
# Total magnetic moment   0.000 μB/f.u.
# Energy relative to the lowest polymorph listed for this composition   0.289 eV per atom



Record 7
# BiB, optimized geometry, DFT GGA-PBE
data_BiB
_chemical_formula_sum 'Bi8 B8'
_space_group_name_H-M_alt 'P 21 21 21'
_space_group_IT_number 19
_cell_length_a 7.056
_cell_length_b 7.131
_cell_length_c 8.064
_cell_angle_alpha 90.00
_cell_angle_beta 90.00
_cell_angle_gamma 90.00
loop_
_space_group_symop_operation_xyz
'x,y,z'
'-x+1/2,-y,z+1/2'
'x+1/2,-y+1/2,-z'
'-x,y+1/2,-z+1/2'
loop_
_atom_site_label
_atom_site_fract_x
_atom_site_fract_y
_atom_site_fract_z
Bi1 0.162 0.090 0.286
Bi2 0.195 0.398 0.970
B1 0.133 0.434 0.265
B2 0.153 0.897 0.535
# Final energy   -4.20 eV/atom
# Total magnetic moment   0.000 μB/f.u.
# Energy relative to the lowest polymorph listed for this composition   0.255 eV per atom



Record 8
# BiB6, optimized geometry, DFT GGA-PBE
data_BiB6
_chemical_formula_sum 'Bi1 B6'
_space_group_name_H-M_alt 'P m -3 m'
_space_group_IT_number 221
_space_group_name_Hall '-P 4 2 3'
_cell_length_a 4.220
_cell_length_b 4.220
_cell_length_c 4.220
_cell_angle_alpha 90.00
_cell_angle_beta 90.00
_cell_angle_gamma 90.00
loop_
_atom_site_label
_atom_site_fract_x
_atom_site_fract_y
_atom_site_fract_z
Bi1 0.000 0.000 0.000
B1 0.202 0.500 0.500
# Final energy   -5.93 eV/atom
# Total magnetic moment   0.509 μB/f.u.



Q: Look up the total magnetic moment of the first one.
A: 0.000 μB/f.u.